--- w ---
DFT (PBE+U) results for an optimized crystal structure of MnFeI2O.

Results
Density of states at the Fermi level ... 3.02 states/eV/cell
Crystal system ... tetragonal
V ... 125 Å³ per cell
Space-group type ... No. 123

CIF file:
```
data_MnFeI2O
_space_group_name_H-M_alt 'P 1'
_space_group_IT_number 1
_space_group_name_Hall 'P 1'
_cell_length_a 5.7770
_cell_length_b 5.7770
_cell_length_c 3.7598
_cell_angle_alpha 90.00
_cell_angle_beta 90.00
_cell_angle_gamma 90.00
loop_
_atom_site_label
_atom_site_type_symbol
_atom_site_fract_x
_atom_site_fract_y
_atom_site_fract_z
Mn1 Mn 0.0000 0.0000 0.0000
Fe1 Fe 0.5000 0.5000 0.5000
I1 I 0.0000 0.5000 0.0000
I2 I 0.5000 0.0000 0.0000
O1 O 0.0000 0.0000 0.5000
```

--- x ---
DFT (PBE+U) results for an optimized crystal structure of MnFeI2O.

Results
Density of states at the Fermi level ... 1.96 states/eV/cell
Crystal system ... tetragonal
V ... 121 Å³ per cell
Space-group type ... No. 123

CIF file:
```
data_MnFeI2O
_space_group_name_H-M_alt 'P 1'
_space_group_IT_number 1
_space_group_name_Hall 'P 1'
_cell_length_a 5.6852
_cell_length_b 5.6852
_cell_length_c 3.7406
_cell_angle_alpha 90.00
_cell_angle_beta 90.00
_cell_angle_gamma 90.00
loop_
_atom_site_label
_atom_site_type_symbol
_atom_site_fract_x
_atom_site_fract_y
_atom_site_fract_z
Mn1 Mn 0.0000 0.0000 0.0000
Fe1 Fe 0.5000 0.5000 0.5000
I1 I 0.0000 0.5000 0.5000
I2 I 0.5000 0.0000 0.5000
O1 O 0.5000 0.5000 0.0000
```

Which of them is the most stable? Correct choice: x.